Below is a geometry-optimized AlFeIr2 structure, with properties calculated at the PBE-GGA level.

Unit cell a=4.7097 b=4.7097 c=4.7097 alpha=133.24 beta=133.24 gamma=68.27
With the nearest neighbours (Å) after each atom.
Fractional positions:
Ir 0.0000 0.0000 0.0000  4 Al 2.64, 4 Fe 2.70, 4 Ir 2.70
Ir 0.2500 0.7500 0.5000  4 Fe 2.64, 4 Ir 2.70, 4 Al 2.70
Fe 0.7500 0.2500 0.5000  8 Ir 2.64-2.70, 4 Al 2.70
Al 0.5000 0.5000 0.0000  8 Ir 2.64-2.70, 4 Fe 2.70

Summary:
energy of formation = -0.32 eV per atom
total moment = 0.450 μB per atom